# SrLi2GeH, optimized geometry, DFT GGA-PBE
data_SrLi2GeH
_cell_length_a 4.4218
_cell_length_b 4.4218
_cell_length_c 4.9728
_cell_angle_alpha 90.00
_cell_angle_beta 90.00
_cell_angle_gamma 90.00
_space_group_name_H-M_alt 'P 4/m m m'
_space_group_IT_number 123
_space_group_name_Hall '-P 4 2'
loop_
_atom_site_label
_atom_site_fract_x
_atom_site_fract_y
_atom_site_fract_z
Sr1 0.0000 0.0000 0.0000
Li1 0.0000 0.5000 0.5000
Ge1 0.5000 0.5000 0.0000
H1 0.0000 0.0000 0.5000
# VASP energy = -2.9787 eV per atom
# Total magnetization = 0.00 μB per cell
# Relative energy among the computed polymorphs = 133 meV/atom

# Li2TcGeH, optimized geometry, DFT GGA-PBE
data_Li2TcGeH
_cell_length_a 3.7088
_cell_length_b 3.7088
_cell_length_c 4.0579
_cell_angle_alpha 90.00
_cell_angle_beta 90.00
_cell_angle_gamma 90.00
_space_group_name_H-M_alt 'P 4/m m m'
_space_group_IT_number 123
_space_group_name_Hall '-P 4 2'
loop_
_atom_site_label
_atom_site_fract_x
_atom_site_fract_y
_atom_site_fract_z
Li1 0.0000 0.5000 0.0000
Tc1 0.0000 0.0000 0.5000
Ge1 0.5000 0.5000 0.5000
H1 0.0000 0.0000 0.0000
# VASP energy = -4.5892 eV per atom
# Total magnetization = 0.69 μB per cell

# Li2TlGeH, optimized geometry, DFT GGA-PBE
data_Li2TlGeH
_cell_length_a 4.3305
_cell_length_b 4.3305
_cell_length_c 4.1651
_cell_angle_alpha 90.00
_cell_angle_beta 90.00
_cell_angle_gamma 90.00
_space_group_name_H-M_alt 'P 4/m m m'
_space_group_IT_number 123
_space_group_name_Hall '-P 4 2'
loop_
_atom_site_label
_atom_site_fract_x
_atom_site_fract_y
_atom_site_fract_z
Li1 0.0000 0.5000 0.0000
Tl1 0.0000 0.0000 0.5000
Ge1 0.5000 0.5000 0.5000
H1 0.5000 0.5000 0.0000
# VASP energy = -2.9147 eV per atom
# Total magnetization = 0.00 μB per cell
# Relative energy among the computed polymorphs = 0 meV/atom

# Li2TlGeH, optimized geometry, DFT GGA-PBE
data_Li2TlGeH
_cell_length_a 4.1163
_cell_length_b 4.1163
_cell_length_c 4.8541
_cell_angle_alpha 90.00
_cell_angle_beta 90.00
_cell_angle_gamma 90.00
_space_group_name_H-M_alt 'P 4/m m m'
_space_group_IT_number 123
_space_group_name_Hall '-P 4 2'
loop_
_atom_site_label
_atom_site_fract_x
_atom_site_fract_y
_atom_site_fract_z
Li1 0.0000 0.5000 0.0000
Tl1 0.0000 0.0000 0.5000
Ge1 0.5000 0.5000 0.5000
H1 0.0000 0.0000 0.0000
# VASP energy = -2.9100 eV per atom
# Total magnetization = 0.00 μB per cell
# Relative energy among the computed polymorphs = 5 meV/atom

# Li2ZnGeH, optimized geometry, DFT GGA-PBE
data_Li2ZnGeH
_cell_length_a 3.9566
_cell_length_b 3.9566
_cell_length_c 4.1361
_cell_angle_alpha 90.00
_cell_angle_beta 90.00
_cell_angle_gamma 90.00
_space_group_name_H-M_alt 'P 4/m m m'
_space_group_IT_number 123
_space_group_name_Hall '-P 4 2'
loop_
_atom_site_label
_atom_site_fract_x
_atom_site_fract_y
_atom_site_fract_z
Li1 0.0000 0.5000 0.0000
Zn1 0.0000 0.0000 0.5000
Ge1 0.5000 0.5000 0.5000
H1 0.5000 0.5000 0.0000
# VASP energy = -2.7060 eV per atom
# Total magnetization = 0.00 μB per cell
# Relative energy among the computed polymorphs = 74 meV/atom

# Li2ZnGeH, optimized geometry, DFT GGA-PBE
data_Li2ZnGeH
_cell_length_a 3.9702
_cell_length_b 3.9702
_cell_length_c 3.9470
_cell_angle_alpha 90.00
_cell_angle_beta 90.00
_cell_angle_gamma 90.00
_space_group_name_H-M_alt 'P 4/m m m'
_space_group_IT_number 123
_space_group_name_Hall '-P 4 2'
loop_
_atom_site_label
_atom_site_fract_x
_atom_site_fract_y
_atom_site_fract_z
Li1 0.0000 0.5000 0.0000
Zn1 0.0000 0.0000 0.5000
Ge1 0.5000 0.5000 0.5000
H1 0.0000 0.0000 0.0000
# VASP energy = -2.7802 eV per atom
# Total magnetization = 0.00 μB per cell
# Relative energy among the computed polymorphs = 0 meV/atom